P.
## NdEr4Sc (GGA-PBE)

Data for crystalline NdEr4Sc at its relaxed geometry.

Unit cell a=11.223 b=3.407 c=11.219 alpha=90.00 beta=118.50 gamma=90.00
Space group C2/m (No. 12)
Symmetry-distinct sites (fractional):
Nd  0.000  0.000  0.000 (multiplicity 2)
Er  0.153  0.500  0.836 (multiplicity 4)
Er  0.156  0.000  0.350 (multiplicity 4)
Sc  0.000  0.500  0.500 (multiplicity 2)

**M_tot**: 0.0 μB per formula unit

***

Q.
## NdEr4Sc (GGA-PBE)

Data for crystalline NdEr4Sc at its relaxed geometry.

Unit cell a=3.5421 b=3.5421 c=50.2954 alpha=90.00 beta=90.00 gamma=120.00
Space group R-3m (No. 166, hexagonal axes)
Symmetry-distinct sites (fractional):
Nd  0.0000  0.0000  0.0000 (multiplicity 3)
Er  0.0000  0.0000  0.1138 (multiplicity 6)
Er  0.0000  0.0000  0.3913 (multiplicity 6)
Sc  0.0000  0.0000  0.5000 (multiplicity 3)

**M_tot**: 0.0 μB per formula unit

***

Least stable: P

***

P.
## NdErSc2 (GGA-PBE)

Data for crystalline NdErSc2 at its relaxed geometry.

Unit cell a=4.933 b=4.933 c=4.671 alpha=90.00 beta=90.00 gamma=90.00
Space group P4/mmm (No. 123)
Symmetry-distinct sites (fractional):
Nd  0.000  0.000  0.000 (multiplicity 1)
Er  0.500  0.500  0.000 (multiplicity 1)
Sc  0.000  0.500  0.500 (multiplicity 2)

**M_tot**: 0.0 μB per formula unit

***

Q.
## NdErSc2 (GGA-PBE)

Data for crystalline NdErSc2 at its relaxed geometry.

Unit cell a=7.695 b=7.695 c=7.695 alpha=90.00 beta=90.00 gamma=90.00
Space group Fm-3m (No. 225)
Symmetry-distinct sites (fractional):
Nd  0.000  0.000  0.000 (multiplicity 4)
Er  0.000  0.000  0.500 (multiplicity 4)
Sc  0.250  0.250  0.250 (multiplicity 8)

**M_tot**: 0.0 μB per formula unit

***

Least stable: Q

***

P.
## Nd2Er4Sc (GGA-PBE)

Data for crystalline Nd2Er4Sc at its relaxed geometry.

Unit cell a=16.265 b=6.641 c=11.499 alpha=90.00 beta=134.99 gamma=90.00
Space group C2 (No. 5)
Symmetry-distinct sites (fractional):
Nd  0.000  0.000  0.000 (multiplicity 2)
Nd  0.000  0.007  0.500 (multiplicity 2)
Nd  0.222  0.887  0.972 (multiplicity 4)
Er  0.007  0.672  0.259 (multiplicity 4)
Er  0.008  0.225  0.256 (multiplicity 4)
Er  0.157  0.518  0.162 (multiplicity 4)
Er  0.159  0.519  0.655 (multiplicity 4)
Sc  0.228  0.894  0.478 (multiplicity 4)

**M_tot**: 0.0 μB per formula unit

***

Q.
## Nd2Er4Sc (GGA-PBE)

Data for crystalline Nd2Er4Sc at its relaxed geometry.

Unit cell a=6.673 b=11.955 c=11.180 alpha=90.00 beta=90.06 gamma=90.00
Space group C2/c (No. 15)
Symmetry-distinct sites (fractional):
Nd  0.000  0.032  0.250 (multiplicity 4)
Nd  0.000  0.322  0.250 (multiplicity 4)
Er  0.000  0.223  0.543 (multiplicity 8)
Er  0.222  0.500  0.000 (multiplicity 8)
Sc  0.000  0.399  0.750 (multiplicity 4)

**M_tot**: 0.0 μB per formula unit

***

Least stable: Q

***

P.
## Nd3Er4Sc (GGA-PBE)

Data for crystalline Nd3Er4Sc at its relaxed geometry.

Unit cell a=11.290 b=7.244 c=6.222 alpha=90.00 beta=90.00 gamma=90.00
Space group Pmn2_1 (No. 31)
Symmetry-distinct sites (fractional):
Nd  0.000  0.127  0.000 (multiplicity 2)
Nd  0.250  0.124  0.332 (multiplicity 4)
Er  0.000  0.377  0.502 (multiplicity 2)
Er  0.000  0.622  0.999 (multiplicity 2)
Er  0.245  0.623  0.337 (multiplicity 4)
Sc  0.000  0.869  0.496 (multiplicity 2)

**M_tot**: 0.0 μB per formula unit

***

Q.
## Nd3Er4Sc (GGA-PBE)

Data for crystalline Nd3Er4Sc at its relaxed geometry.

Unit cell a=3.477 b=11.580 c=12.756 alpha=90.00 beta=90.00 gamma=90.00
Space group Immm (No. 71)
Symmetry-distinct sites (fractional):
Nd  0.000  0.000  0.000 (multiplicity 2)
Nd  0.000  0.500  0.240 (multiplicity 4)
Er  0.000  0.242  0.366 (multiplicity 8)
Sc  0.000  0.000  0.500 (multiplicity 2)

**M_tot**: 0.0 μB per formula unit

***

Least stable: Q

***

P.
## Nd2Er8Sc (GGA-PBE)

Data for crystalline Nd2Er8Sc at its relaxed geometry.

Unit cell a=16.405 b=6.563 c=6.592 alpha=90.00 beta=101.67 gamma=90.00
Space group C2/m (No. 12)
Symmetry-distinct sites (fractional):
Nd  0.191  0.000  0.302 (multiplicity 4)
Er  0.083  0.260  0.893 (multiplicity 8)
Er  0.090  0.500  0.410 (multiplicity 4)
Er  0.244  0.000  0.816 (multiplicity 4)
Sc  0.000  0.000  0.500 (multiplicity 2)

**M_tot**: 0.0 μB per formula unit

***

Q.
## Nd2Er8Sc (GGA-PBE)

Data for crystalline Nd2Er8Sc at its relaxed geometry.

Unit cell a=6.093 b=7.855 c=7.871 alpha=107.50 beta=97.64 gamma=104.85
Space group P-1 (No. 2)
Symmetry-distinct sites (fractional):
Nd  0.228  0.409  0.051 (multiplicity 2)
Er  0.045  0.682  0.412 (multiplicity 2)
Er  0.138  0.048  0.231 (multiplicity 2)
Er  0.321  0.773  0.861 (multiplicity 2)
Er  0.409  0.137  0.679 (multiplicity 2)
Sc  0.500  0.500  0.500 (multiplicity 1)

**M_tot**: 0.0 μB per formula unit

***

Least stable: P

***

P.
## NdEr3Sc (GGA-PBE)

Data for crystalline NdEr3Sc at its relaxed geometry.

Unit cell a=6.175 b=5.553 c=9.409 alpha=90.00 beta=109.07 gamma=90.00
Space group P2_1/m (No. 11)
Symmetry-distinct sites (fractional):
Nd  0.069  0.250  0.298 (multiplicity 2)
Er  0.142  0.750  0.095 (multiplicity 2)
Er  0.273  0.250  0.710 (multiplicity 2)
Er  0.337  0.750  0.504 (multiplicity 2)
Sc  0.464  0.250  0.095 (multiplicity 2)

**M_tot**: 0.0 μB per formula unit

***

Q.
## NdEr3Sc (GGA-PBE)

Data for crystalline NdEr3Sc at its relaxed geometry.

Unit cell a=19.508 b=9.687 c=6.477 alpha=90.00 beta=94.03 gamma=90.00
Space group C2/c (No. 15)
Symmetry-distinct sites (fractional):
Nd  0.000  0.106  0.250 (multiplicity 4)
Nd  0.000  0.248  0.750 (multiplicity 4)
Er  0.076  0.445  0.399 (multiplicity 8)
Er  0.149  0.101  0.597 (multiplicity 8)
Er  0.165  0.254  0.084 (multiplicity 8)
Sc  0.217  0.431  0.678 (multiplicity 8)

**M_tot**: 0.0 μB per formula unit

***

Least stable: Q

***

P.
## Nd4ErSc2 (GGA-PBE)

Data for crystalline Nd4ErSc2 at its relaxed geometry.

Unit cell a=6.688 b=21.848 c=6.125 alpha=90.00 beta=90.00 gamma=90.00
Space group Ibam (No. 72)
Symmetry-distinct sites (fractional):
Nd  0.099  0.086  0.000 (multiplicity 8)
Nd  0.105  0.366  0.000 (multiplicity 8)
Er  0.000  0.500  0.250 (multiplicity 4)
Sc  0.119  0.242  0.500 (multiplicity 8)

**M_tot**: 0.0 μB per formula unit

***

Q.
## Nd4ErSc2 (GGA-PBE)

Data for crystalline Nd4ErSc2 at its relaxed geometry.

Unit cell a=5.562 b=6.885 c=11.920 alpha=90.00 beta=103.51 gamma=90.00
Space group P2_1/m (No. 11)
Symmetry-distinct sites (fractional):
Nd  0.069  0.250  0.135 (multiplicity 2)
Nd  0.219  0.750  0.436 (multiplicity 2)
Nd  0.356  0.503  0.712 (multiplicity 4)
Er  0.076  0.750  0.154 (multiplicity 2)
Sc  0.207  0.250  0.416 (multiplicity 2)
Sc  0.500  0.250  0.996 (multiplicity 2)

**M_tot**: 0.0 μB per formula unit

***

Least stable: P

***

P.
## NdEr2Sc4 (GGA-PBE)

Data for crystalline NdEr2Sc4 at its relaxed geometry.

Unit cell a=8.074 b=8.074 c=6.268 alpha=90.00 beta=90.00 gamma=90.00
Space group I4/mmm (No. 139)
Symmetry-distinct sites (fractional):
Nd  0.000  0.000  0.000 (multiplicity 2)
Er  0.000  0.500  0.250 (multiplicity 4)
Sc  0.193  0.193  0.500 (multiplicity 8)

**M_tot**: 3.2 μB per formula unit

***

Q.
## NdEr2Sc4 (GGA-PBE)

Data for crystalline NdEr2Sc4 at its relaxed geometry.

Unit cell a=6.718 b=8.179 c=8.308 alpha=61.11 beta=89.83 gamma=77.92
Space group P1 (No. 1)
Symmetry-distinct sites (fractional):
Nd  0.000  0.000  0.000 (multiplicity 1)
Nd  0.174  0.323  0.121 (multiplicity 1)
Er  0.034  0.871  0.473 (multiplicity 1)
Er  0.215  0.188  0.589 (multiplicity 1)
Er  0.669  0.313  0.135 (multiplicity 1)
Er  0.843  0.596  0.300 (multiplicity 1)
Sc  0.326  0.736  0.867 (multiplicity 1)
Sc  0.357  0.601  0.299 (multiplicity 1)
Sc  0.395  0.459  0.722 (multiplicity 1)
Sc  0.502  0.006  0.000 (multiplicity 1)
Sc  0.538  0.867  0.470 (multiplicity 1)
Sc  0.705  0.187  0.595 (multiplicity 1)
Sc  0.807  0.742  0.858 (multiplicity 1)
Sc  0.884  0.458  0.724 (multiplicity 1)

**M_tot**: 0.0 μB per formula unit

***

Least stable: P

***

P.
## Nd3Er6Sc (GGA-PBE)

Data for crystalline Nd3Er6Sc at its relaxed geometry.

Unit cell a=6.089 b=6.132 c=9.330 alpha=71.18 beta=71.13 gamma=80.49
Space group P-1 (No. 2)
Symmetry-distinct sites (fractional):
Nd  0.000  0.000  0.000 (multiplicity 1)
Nd  0.004  0.602  0.794 (multiplicity 2)
Er  0.000  0.204  0.597 (multiplicity 2)
Er  0.499  0.097  0.304 (multiplicity 2)
Er  0.499  0.698  0.103 (multiplicity 2)
Sc  0.500  0.500  0.500 (multiplicity 1)

**M_tot**: 0.0 μB per formula unit

***

Q.
## Nd3Er6Sc (GGA-PBE)

Data for crystalline Nd3Er6Sc at its relaxed geometry.

Unit cell a=10.915 b=18.799 c=6.217 alpha=90.00 beta=90.00 gamma=90.00
Space group Cmc2_1 (No. 36)
Symmetry-distinct sites (fractional):
Nd  0.000  0.112  0.000 (multiplicity 4)
Nd  0.168  0.387  0.391 (multiplicity 8)
Er  0.000  0.222  0.566 (multiplicity 4)
Er  0.000  0.453  0.843 (multiplicity 4)
Er  0.165  0.047  0.477 (multiplicity 8)
Er  0.250  0.210  0.304 (multiplicity 8)
Sc  0.000  0.296  0.065 (multiplicity 4)

**M_tot**: 0.0 μB per formula unit

***

Least stable: Q

***

P.
## NdEr5Sc4 (GGA-PBE)

Data for crystalline NdEr5Sc4 at its relaxed geometry.

Unit cell a=9.792 b=9.792 c=6.149 alpha=90.00 beta=90.00 gamma=90.00
Space group I4 (No. 79)
Symmetry-distinct sites (fractional):
Nd  0.000  0.000  0.000 (multiplicity 2)
Er  0.000  0.000  0.456 (multiplicity 2)
Er  0.146  0.755  0.726 (multiplicity 8)
Sc  0.057  0.641  0.229 (multiplicity 8)

**M_tot**: 0.0 μB per formula unit

***

Q.
## NdEr5Sc4 (GGA-PBE)

Data for crystalline NdEr5Sc4 at its relaxed geometry.

Unit cell a=10.069 b=11.121 c=5.367 alpha=90.00 beta=90.00 gamma=90.00
Space group Pmmn (No. 59, origin choice 2)
Symmetry-distinct sites (fractional):
Nd  0.250  0.250  0.248 (multiplicity 2)
Er  0.051  0.048  0.250 (multiplicity 8)
Er  0.250  0.750  0.751 (multiplicity 2)
Sc  0.001  0.250  0.749 (multiplicity 4)
Sc  0.250  0.056  0.749 (multiplicity 4)

**M_tot**: 0.0 μB per formula unit

***

Least stable: P